[1]
VASP calculation (PBE-GGA) on a relaxed structure of Nd6Cd23.

Unit cell a=10.0140 b=10.0140 c=10.0140 alpha=60.00 beta=60.00 gamma=60.00
With the nearest neighbours (Å) after each atom.
Atoms (fractional coordinates):
Nd (0.2058, 0.2058, 0.7942)  12 Cd 3.37-3.60
Nd (0.2058, 0.7942, 0.2058)  12 Cd 3.37-3.60
Nd (0.2058, 0.7942, 0.7942)  12 Cd 3.37-3.60
Nd (0.7942, 0.2058, 0.2058)  12 Cd 3.37-3.60
Nd (0.7942, 0.2058, 0.7942)  12 Cd 3.37-3.60
Nd (0.7942, 0.7942, 0.2058)  12 Cd 3.37-3.60
Cd (0.0000, 0.0000, 0.5000)  8 Cd 2.89-3.10
Cd (0.0000, 0.5000, 0.0000)  8 Cd 2.89-3.10
Cd (0.0000, 0.5000, 0.5000)  8 Cd 2.89-3.10
Cd (0.1356, 0.6215, 0.6215)  7 Cd 2.98-3.14
Cd (0.1656, 0.1656, 0.1656)  6 Cd 2.89-3.14
Cd (0.1656, 0.1656, 0.5031)  6 Cd 2.89-3.14
Cd (0.1656, 0.5031, 0.1656)  6 Cd 2.89-3.14
Cd (0.3785, 0.3785, 0.3785)  7 Cd 2.98-3.14
Cd (0.3785, 0.3785, 0.8644)  7 Cd 2.98-3.14
Cd (0.3785, 0.8644, 0.3785)  7 Cd 2.98-3.14
Cd (0.4969, 0.8344, 0.8344)  6 Cd 2.89-3.14
Cd (0.5000, 0.0000, 0.0000)  8 Cd 2.89-3.10
Cd (0.5000, 0.0000, 0.5000)  8 Cd 2.89-3.10
Cd (0.5000, 0.5000, 0.0000)  8 Cd 2.89-3.10
Cd (0.5000, 0.5000, 0.5000)  8 Cd 2.98
Cd (0.5031, 0.1656, 0.1656)  6 Cd 2.89-3.14
Cd (0.6215, 0.1356, 0.6215)  7 Cd 2.98-3.14
Cd (0.6215, 0.6215, 0.1356)  7 Cd 2.98-3.14
Cd (0.6215, 0.6215, 0.6215)  7 Cd 2.98-3.14
Cd (0.8344, 0.4969, 0.8344)  6 Cd 2.89-3.14
Cd (0.8344, 0.8344, 0.4969)  6 Cd 2.89-3.14
Cd (0.8344, 0.8344, 0.8344)  6 Cd 2.89-3.14
Cd (0.8644, 0.3785, 0.3785)  7 Cd 2.98-3.14

Values from the calculation:
ρ: 8070 kg/m3
VASP energy: -1.96 eV/atom



[2]
VASP calculation (PBE-GGA) on a relaxed structure of CsRb2Tl3Br6.

Unit cell a=10.9755 b=10.9755 c=9.7977 alpha=102.43 beta=102.43 gamma=25.90
With the nearest neighbours (Å) after each atom.
Atoms (fractional coordinates):
Cs (0.0000, 0.0000, 0.0000)  6 Br 3.60-3.61
Rb (0.3313, 0.3313, 0.6634)  6 Br 3.49-3.50
Rb (0.6687, 0.6687, 0.3366)  6 Br 3.49-3.50
Tl (0.0000, 0.0000, 0.5000)  6 Br 3.35-3.43
Tl (0.3316, 0.3316, 0.1671)  6 Br 3.31-3.54
Tl (0.6684, 0.6684, 0.8329)  6 Br 3.31-3.54
Br (0.1641, 0.1641, 0.5873)  3 Tl 3.43, 3 Rb 3.49
Br (0.1729, 0.1729, 0.0852)  3 Tl 3.31-3.47, 2 Rb 3.50, 1 Cs 3.61
Br (0.4988, 0.4988, 0.7311)  3 Tl 3.35-3.54, 1 Rb 3.50, 2 Cs 3.60
Br (0.5012, 0.5012, 0.2689)  3 Tl 3.35-3.54, 1 Rb 3.50, 2 Cs 3.60
Br (0.8271, 0.8271, 0.9148)  3 Tl 3.31-3.47, 2 Rb 3.50, 1 Cs 3.61
Br (0.8359, 0.8359, 0.4127)  3 Tl 3.43, 3 Rb 3.49

Values from the calculation:
Formation energy without anion corrections: -15.68 eV/f.u.
ρ: 4612 kg/m3



- Among the records above, which one has the lowest ρ?
  CsRb2Tl3Br6